Density functional theory data (PBE-GGA) for an optimized crystal structure of Er3Se2N.

Unit cell a=5.4979 b=7.8238 c=7.8238 alpha=119.19 beta=90.00 gamma=90.00
Element x y z (fractional)
Se 0.9930 0.2003 0.5120
Er 0.9930 0.8688 0.5762
Er 0.9930 0.5762 0.8688
Se 0.4930 0.4880 0.7997
Er 0.4926 0.8794 0.8794
Er 0.4930 0.1312 0.4238
Se 0.9930 0.5120 0.2003
Er 0.4930 0.4238 0.1312
N 0.4935 0.1571 0.1571
N 0.9935 0.8429 0.8429
Se 0.4930 0.7997 0.4880
Er 0.9926 0.1206 0.1206

The raw formation energy comes out at -1.502 eV/atom. The size of the total moment is 0.0001 μB/atom. Its space group is Cmcm (63). Its density of states at the Fermi level is 7.395 states/eV/cell.

Density functional theory data (PBE-GGA) for an optimized crystal structure of Er4Se2N.

Unit cell a=4.2978 b=4.2978 c=15.3134 alpha=81.93 beta=81.93 gamma=90.00
Element x y z (fractional)
Se 0.1182 0.1182 0.7636
N 0.0000 0.0000 0.0000
Er 0.3927 0.3927 0.2145
Se 0.8818 0.8818 0.2364
Er 0.0000 0.5000 0.0000
Er 0.6073 0.6073 0.7855
Er 0.5000 0.0000 0.0000

The raw formation energy comes out at -0.719 eV/atom. The size of the total moment is 0.0000 μB/atom. Its space group is I4/mmm (139). Its density of states at the Fermi level is 2.823 states/eV/cell.

Density functional theory data (PBE-GGA) for an optimized crystal structure of Er5Se5N2.

Unit cell a=3.8208 b=6.7428 c=10.7854 alpha=104.07 beta=90.00 gamma=106.46
Element x y z (fractional)
N 0.0447 0.0894 0.8001
Er 0.0936 0.1871 0.3643
N 0.9553 0.9106 0.1999
Er 0.6459 0.2918 0.7981
Se 0.3357 0.6715 0.9288
Er 0.9064 0.8129 0.6357
Er 0.3541 0.7082 0.2019
Se 0.7543 0.5087 0.3670
Se 0.2457 0.4913 0.6330
Se 0.5000 0.0000 0.5000
Er 0.0000 0.0000 0.0000
Se 0.6643 0.3285 0.0712

The raw formation energy comes out at -1.664 eV/atom. The size of the total moment is 0.0000 μB/atom. Its space group is C2/m (12). Its density of states at the Fermi level is 3.518 states/eV/cell.

Density functional theory data (PBE-GGA) for an optimized crystal structure of ErSeN.

Unit cell a=4.4821 b=6.6881 c=6.6881 alpha=90.00 beta=90.00 gamma=90.00
Element x y z (fractional)
Se 0.4174 0.4992 0.7500
Se 0.5826 0.5008 0.2500
Se 0.4174 0.0008 0.2500
Se 0.5826 0.9992 0.7500
N 0.1522 0.0000 0.7500
N 0.8478 0.5000 0.7500
N 0.8478 0.0000 0.2500
N 0.1522 0.5000 0.2500
Er 0.0004 0.7500 0.0000
Er 0.0004 0.7500 0.5000
Er 0.9996 0.2500 0.5000
Er 0.9996 0.2500 0.0000

The raw formation energy comes out at -0.969 eV/atom. The size of the total moment is 0.0000 μB/atom. Its space group is Pbcm (57). Its density of states at the Fermi level is 0.931 states/eV/cell.

Density functional theory data (PBE-GGA) for an optimized crystal structure of Er3Se3N.

Unit cell a=3.9053 b=12.4948 c=13.1572 alpha=90.00 beta=90.00 gamma=90.00
Element x y z (fractional)
Er 0.7500 0.8015 0.1451
Er 0.2500 0.5575 0.8655
Se 0.2500 0.8709 0.0075
Se 0.7500 0.6291 0.5075
Se 0.7500 0.4002 0.9008
Er 0.7500 0.9551 0.8513
N 0.2500 0.5318 0.7031
N 0.7500 0.4682 0.2969
Se 0.2500 0.3709 0.4925
Er 0.2500 0.6985 0.6451
Er 0.7500 0.9425 0.3655
Er 0.7500 0.4425 0.1345
Se 0.7500 0.9002 0.5992
Se 0.2500 0.0998 0.4008
Er 0.2500 0.5449 0.3513
N 0.2500 0.0318 0.7969
Se 0.7500 0.7221 0.8135
Se 0.7500 0.2221 0.6865
Er 0.7500 0.4551 0.6487
Se 0.7500 0.1291 0.9925
Se 0.2500 0.7779 0.3135
Er 0.2500 0.0449 0.1487
Er 0.2500 0.0575 0.6345
Se 0.2500 0.5998 0.0992
Er 0.7500 0.3015 0.3549
Se 0.2500 0.2779 0.1865
N 0.7500 0.9682 0.2031
Er 0.2500 0.1985 0.8549

The raw formation energy comes out at -1.841 eV/atom. The size of the total moment is 0.0000 μB/atom. Its space group is Pnma (62).

Density functional theory data (PBE-GGA) for an optimized crystal structure of Er5Se4N.

Unit cell a=3.9077 b=3.9077 c=14.4784 alpha=97.76 beta=97.76 gamma=90.00
Element x y z (fractional)
N 0.0000 0.0000 0.0000
Se 0.1908 0.1908 0.3816
Se 0.3999 0.3999 0.7998
Er 0.9210 0.9210 0.8420
Er 0.2922 0.2922 0.5844
Er 0.5000 0.5000 0.0000
Er 0.7078 0.7078 0.4156
Se 0.8092 0.8092 0.6184
Se 0.6001 0.6001 0.2002
Er 0.0790 0.0790 0.1580

The raw formation energy comes out at -1.638 eV/atom. The size of the total moment is 0.0000 μB/atom. Its space group is I4/mmm (139). Its density of states at the Fermi level is 3.616 states/eV/cell.

Density functional theory data (PBE-GGA) for an optimized crystal structure of SmErSeN.

Unit cell a=3.6926 b=3.6926 c=6.9242 alpha=74.54 beta=74.54 gamma=60.00
Element x y z (fractional)
Sm 0.9839 0.9839 0.0484
Se 0.7538 0.7538 0.7386
Er 0.5176 0.5176 0.4473
N 0.2448 0.2448 0.2657

The raw formation energy comes out at -1.683 eV/atom. The size of the total moment is 0.0000 μB/atom. Its space group is R3m (160). Its density of states at the Fermi level is 0.975 states/eV/cell.

Density functional theory data (PBE-GGA) for an optimized crystal structure of TbErSeN.

Unit cell a=3.6580 b=3.6580 c=6.8338 alpha=74.48 beta=74.48 gamma=60.00
Element x y z (fractional)
Er 0.2675 0.2675 0.1975
Se 0.5017 0.5017 0.4950
Tb 0.7332 0.7332 0.8005
N 0.9976 0.9976 0.0071

The raw formation energy comes out at -1.712 eV/atom. The size of the total moment is 0.0000 μB/atom. Its space group is R3m (160). Its density of states at the Fermi level is 0.984 states/eV/cell.

Density functional theory data (PBE-GGA) for an optimized crystal structure of Er8Tl3Se3N.

Unit cell a=7.7722 b=7.7747 c=8.8754 alpha=116.01 beta=90.01 gamma=120.01
Element x y z (fractional)
Er 0.7754 0.9836 0.6914
Er 0.7393 0.4786 0.7176
Se 0.5000 0.0000 0.5000
Tl 0.0000 0.5000 0.0000
N 0.0000 0.0000 0.5000
Er 0.2607 0.5214 0.2824
Er 0.2085 0.4168 0.6913
Er 0.2246 0.0164 0.3086
Se 0.5000 0.5000 0.5000
Er 0.7916 0.0165 0.3087
Tl 0.5000 0.5000 0.0000
Er 0.2084 0.9835 0.6913
Se 0.0000 0.5000 0.5000
Tl 0.0000 0.0000 0.0000
Er 0.7915 0.5832 0.3087

The raw formation energy comes out at -0.951 eV/atom. The size of the total moment is 0.0000 μB/atom. Its space group is C2/m (12). Its density of states at the Fermi level is 7.040 states/eV/cell.

Density functional theory data (PBE-GGA) for an optimized crystal structure of ErTmSeN.

Unit cell a=3.6176 b=3.6176 c=6.7522 alpha=74.46 beta=74.46 gamma=60.00
Element x y z (fractional)
Se 0.7494 0.7494 0.7518
Er 0.5174 0.5174 0.4479
Tm 0.9823 0.9823 0.0530
N 0.2509 0.2509 0.2473

The raw formation energy comes out at -1.717 eV/atom. The size of the total moment is 0.0000 μB/atom. Its space group is R3m (160). Its density of states at the Fermi level is 1.030 states/eV/cell.

Density functional theory data (PBE-GGA) for an optimized crystal structure of ErUSeN2.

Unit cell a=3.8201 b=3.8201 c=6.6254 alpha=106.76 beta=106.76 gamma=90.00
Last column: magnetic moment on the atom in μB.
Element x y z (fractional)
N 0.7448 0.2448 0.4896  -0.05
Er 0.8452 0.8452 0.6905  0.02
N 0.2448 0.7448 0.4896  -0.05
Se 0.5034 0.5034 0.0067  -0.03
U 0.1618 0.1618 0.3237  1.04

The raw formation energy comes out at -1.586 eV/atom. The size of the total moment is 0.2003 μB/atom. Its space group is I4mm (107). Its density of states at the Fermi level is 2.998 states/eV/cell.

Density functional theory data (PBE-GGA) for an optimized crystal structure of ErUSe2N.

Unit cell a=3.9042 b=3.9042 c=14.4018 alpha=90.00 beta=90.00 gamma=90.00
Last column: magnetic moment on the atom in μB.
Element x y z (fractional)
U 0.0000 0.5000 0.4202  1.75
U 0.5000 0.0000 0.5798  1.75
N 0.0000 0.0000 0.5000  -0.11
Se 0.5000 0.0000 0.3100  -0.04
Se 0.0000 0.5000 0.0897  0.00
Er 0.0000 0.5000 0.8789  0.01
Se 0.0000 0.5000 0.6900  -0.04
N 0.5000 0.5000 0.5000  -0.11
Er 0.5000 0.0000 0.1211  0.01
Se 0.5000 0.0000 0.9103  0.00

The raw formation energy comes out at -1.614 eV/atom. The size of the total moment is 0.3445 μB/atom. Its space group is P4/nmm (129). Its density of states at the Fermi level is 12.256 states/eV/cell.

Density functional theory data (PBE-GGA) for an optimized crystal structure of Er3SiN.

Unit cell a=4.6413 b=4.6413 c=4.6413 alpha=90.00 beta=90.00 gamma=90.00
Element x y z (fractional)
Er 0.0000 0.5000 0.0000
N 0.0000 0.0000 0.0000
Er 0.0000 0.0000 0.5000
Si 0.5000 0.5000 0.5000
Er 0.5000 0.0000 0.0000

The raw formation energy comes out at -0.936 eV/atom. The size of the total moment is 0.0000 μB/atom. Its space group is Pm-3m (221). Its density of states at the Fermi level is 2.206 states/eV/cell.

Density functional theory data (PBE-GGA) for an optimized crystal structure of ErSiN.

Unit cell a=3.4061 b=3.4061 c=8.9275 alpha=101.00 beta=101.00 gamma=90.00
Element x y z (fractional)
Si 0.0773 0.0773 0.1546
Er 0.6786 0.6786 0.3572
Er 0.3214 0.3214 0.6428
Si 0.9227 0.9227 0.8454
N 0.1866 0.1866 0.3731
N 0.8134 0.8134 0.6269

The raw formation energy comes out at -0.846 eV/atom. The size of the total moment is 0.0000 μB/atom. Its space group is I4/mmm (139). Its density of states at the Fermi level is 2.632 states/eV/cell.

Density functional theory data (PBE-GGA) for an optimized crystal structure of Er2SiN3.

Unit cell a=5.2192 b=5.7663 c=11.2063 alpha=88.62 beta=86.95 gamma=63.09
Element x y z (fractional)
N 0.4091 0.1818 0.7500
Er 0.0295 0.4011 0.1447
N 0.8551 0.6682 0.6346
Si 0.2678 0.9994 0.8350
Er 0.8791 0.7748 0.4297
N 0.1449 0.3318 0.3654
Er 0.1209 0.2252 0.5703
N 0.0073 0.9853 0.7500
Er 0.4305 0.5989 0.6447
Er 0.9705 0.5989 0.8553
Er 0.3461 0.7748 0.0703
N 0.1254 0.1967 0.9613
N 0.9927 0.0147 0.2500
Er 0.6539 0.2252 0.9297
Si 0.2673 0.0006 0.3350
Si 0.7327 0.9994 0.6650
N 0.5909 0.8182 0.2500
N 0.6778 0.1967 0.5387
Er 0.5695 0.4011 0.3553
Si 0.7322 0.0006 0.1650
N 0.3222 0.8033 0.4613
N 0.4768 0.6682 0.8654
N 0.8746 0.8033 0.0387
N 0.5232 0.3318 0.1346

The raw formation energy comes out at -1.369 eV/atom. The size of the total moment is 0.0000 μB/atom. Its space group is C2/c (15). Its density of states at the Fermi level is 8.312 states/eV/cell.

Density functional theory data (PBE-GGA) for an optimized crystal structure of Er2SiN.

Unit cell a=3.4920 b=3.4920 c=7.1990 alpha=75.96 beta=75.96 gamma=60.00
Element x y z (fractional)
Si 0.0000 0.0000 0.0000
Er 0.7685 0.7685 0.6946
N 0.5000 0.5000 0.5000
Er 0.2315 0.2315 0.3054

The raw formation energy comes out at -1.099 eV/atom. The size of the total moment is 0.0000 μB/atom. Its space group is R-3m (166). Its density of states at the Fermi level is 0.850 states/eV/cell.

Density functional theory data (PBE-GGA) for an optimized crystal structure of SrErSiN3.

Unit cell a=3.7659 b=6.5582 c=7.2066 alpha=105.38 beta=90.00 gamma=106.69
Element x y z (fractional)
Sr 0.6477 0.2954 0.0723
N 0.8458 0.6916 0.6539
Si 0.9962 0.9924 0.7251
Sr 0.3523 0.7046 0.9277
Er 0.3482 0.6965 0.4243
N 0.1542 0.3084 0.3461
N 0.4958 0.9915 0.7129
Si 0.0038 0.0076 0.2749
Er 0.6518 0.3035 0.5757
N 0.8551 0.7102 0.2032
N 0.5042 0.0085 0.2871
N 0.1449 0.2898 0.7968

The raw formation energy comes out at -0.959 eV/atom. The size of the total moment is 0.0000 μB/atom. Its space group is C2/m (12). Its density of states at the Fermi level is 3.206 states/eV/cell.

Density functional theory data (PBE-GGA) for an optimized crystal structure of SmEr3N.

Unit cell a=4.9295 b=4.9295 c=4.9295 alpha=90.00 beta=90.00 gamma=90.00
Last column: magnetic moment on the atom in μB.
Element x y z (fractional)
N 0.0000 0.0000 0.0000  0.01
Sm 0.5000 0.5000 0.5000  0.06
Er 0.0000 0.5000 0.0000  0.05
Er 0.5000 0.0000 0.0000  0.05
Er 0.0000 0.0000 0.5000  0.05

The raw formation energy comes out at -0.511 eV/atom. The size of the total moment is 0.0636 μB/atom. Its space group is Pm-3m (221). Its density of states at the Fermi level is 7.188 states/eV/cell.

Density functional theory data (PBE-GGA) for an optimized crystal structure of SmErN2.

Unit cell a=3.4396 b=3.4396 c=6.2843 alpha=74.12 beta=74.12 gamma=60.00
Element x y z (fractional)
N 0.0805 0.0805 0.7586
Sm 0.4965 0.4965 0.5106
Er 0.6671 0.6671 0.9987
N 0.2560 0.2560 0.2321

The raw formation energy comes out at -1.410 eV/atom. The size of the total moment is 0.0000 μB/atom. Its space group is R3m (160). Its density of states at the Fermi level is 0.033 states/eV/cell.

Density functional theory data (PBE-GGA) for an optimized crystal structure of Sm2ErN.

Unit cell a=3.5309 b=3.5309 c=9.7381 alpha=79.55 beta=79.55 gamma=60.00
Element x y z (fractional)
Sm 0.8809 0.8809 0.3572
Er 0.0000 0.0000 0.0000
N 0.5000 0.5000 0.5000
Sm 0.1191 0.1191 0.6428

The raw formation energy comes out at -0.577 eV/atom. The size of the total moment is 0.0015 μB/atom. Its space group is R-3m (166). Its density of states at the Fermi level is 4.623 states/eV/cell.

Density functional theory data (PBE-GGA) for an optimized crystal structure of SmEr5N6.

Unit cell a=5.9839 b=5.9854 c=5.9860 alpha=60.00 beta=80.41 gamma=70.54
Element x y z (fractional)
Er 0.0000 0.6666 0.6669
N 0.7469 0.7448 0.0000
N 0.7468 0.4239 0.6605
Er 0.0000 0.3334 0.3331
Er 0.5000 0.1676 0.6649
Er 0.5000 0.5000 0.0000
N 0.2531 0.2552 0.0000
Er 0.5000 0.8324 0.3351
N 0.2532 0.5761 0.3395
N 0.7468 0.0844 0.3395
Sm 0.0000 0.0000 0.0000
N 0.2532 0.9156 0.6605

The raw formation energy comes out at -1.722 eV/atom. The size of the total moment is 0.0000 μB/atom. Its space group is C2/m (12). Its density of states at the Fermi level is 0.298 states/eV/cell.

Density functional theory data (PBE-GGA) for an optimized crystal structure of SmEr2N.

Unit cell a=3.4197 b=3.4197 c=9.7133 alpha=79.86 beta=79.86 gamma=60.00
Element x y z (fractional)
Sm 0.0000 0.0000 0.0000
Er 0.1205 0.1205 0.6385
N 0.5000 0.5000 0.5000
Er 0.8795 0.8795 0.3615

The raw formation energy comes out at -0.710 eV/atom. The size of the total moment is 0.0009 μB/atom. Its space group is R-3m (166). Its density of states at the Fermi level is 4.768 states/eV/cell.

Density functional theory data (PBE-GGA) for an optimized crystal structure of Sm4ErN5.

Unit cell a=5.0494 b=6.1581 c=6.1581 alpha=80.32 beta=65.80 gamma=65.80
Element x y z (fractional)
N 0.8983 0.3918 0.8041
N 0.2901 0.8041 0.6082
Er 0.0105 0.0000 0.0000
N 0.4871 0.0000 0.0000
Sm 0.4063 0.3994 0.8017
Sm 0.8058 0.8017 0.6006
N 0.0942 0.6082 0.1959
Sm 0.6075 0.6006 0.1983
Sm 0.2081 0.1983 0.3994
N 0.7024 0.1959 0.3918

The raw formation energy comes out at -1.529 eV/atom. The size of the total moment is 0.0000 μB/atom. Its space group is I4 (79). Its density of states at the Fermi level is 0.458 states/eV/cell.